The following is a DFT calculation (PBE) of a relaxed structure of LiLaAl2.

Calculated values
Its space group is No. 123. The calculation puts the total magnetization at 0.0 μB/cell. As for the polymorph energy (0 for the lowest one): 0.1221 eV per atom. The total energy comes out at -14.90 eV/cell. The energy relative to the elements is -55 kJ/mol of formula units.

Structure (POSCAR):
```
LiLaAl2
1.0
4.4015 0.0000 0.0000
0.0000 4.4015 0.0000
0.0000 0.0000 4.7293
Li La Al
1 1 2
Direct
0.0000 0.0000 0.0000
0.5000 0.5000 0.0000
0.0000 0.5000 0.5000
0.5000 0.0000 0.5000
```